No. 1
A plane-wave DFT calculation with PBE-GGA was carried out for a geometry-optimized Sm8Ge3IrI4 structure.

Values from the calculation:
Calculated total energy = -5.133 eV per atom
Total moment = 0.0 Bohr magnetons per cell

Unit cell a=9.112 b=9.112 c=9.112 alpha=56.55 beta=56.55 gamma=56.55
Positions (direct):
1 Sm 0.233 0.233 0.233
2 Sm 0.244 0.724 0.724
3 Sm 0.276 0.276 0.756
4 Sm 0.276 0.756 0.276
5 Sm 0.724 0.244 0.724
6 Sm 0.724 0.724 0.244
7 Sm 0.756 0.276 0.276
8 Sm 0.767 0.767 0.767
9 Ge 0.000 0.000 0.500
10 Ge 0.000 0.500 0.000
11 Ge 0.500 0.000 0.000
12 Ir 0.500 0.500 0.500
13 I 0.000 0.000 0.000
14 I 0.000 0.500 0.500
15 I 0.500 0.000 0.500
16 I 0.500 0.500 0.000

***

No. 2
A plane-wave DFT calculation with PBE-GGA was carried out for a geometry-optimized TaGe2IrI structure.

Values from the calculation:
Calculated total energy = -5.181 eV per atom
Total moment = 3.1 Bohr magnetons per cell

Unit cell a=4.702 b=4.702 c=5.612 alpha=90.00 beta=90.00 gamma=90.00
Positions (direct):
1 Ta 0.000 0.000 0.000
2 Ge 0.000 0.500 0.500
3 Ge 0.500 0.000 0.500
4 Ir 0.500 0.500 0.500
5 I 0.500 0.500 0.000

***

No. 3
A plane-wave DFT calculation with PBE-GGA was carried out for a geometry-optimized GeTe2IrI structure.

Values from the calculation:
Total moment = 2.7 Bohr magnetons per cell
Relative energy among the computed polymorphs = 0.770 eV/atom

Unit cell a=5.356 b=5.356 c=5.423 alpha=90.00 beta=90.00 gamma=90.00
Positions (direct):
1 Ge 0.000 0.000 0.000
2 Te 0.000 0.500 0.000
3 Te 0.500 0.000 0.000
4 Ir 0.500 0.500 0.500
5 I 0.000 0.000 0.500

***

No. 4
A plane-wave DFT calculation with PBE-GGA was carried out for a geometry-optimized GeTe2IrI structure.

Values from the calculation:
Total moment = 0.0 Bohr magnetons per cell
Relative energy among the computed polymorphs = 0.000 eV/atom

Unit cell a=5.246 b=5.246 c=5.430 alpha=90.00 beta=90.00 gamma=90.00
Positions (direct):
1 Ge 0.000 0.000 0.000
2 Te 0.000 0.500 0.500
3 Te 0.500 0.000 0.500
4 Ir 0.500 0.500 0.500
5 I 0.500 0.500 0.000

***

No. 5
A plane-wave DFT calculation with PBE-GGA was carried out for a geometry-optimized KGeI2 structure.

Values from the calculation:
Total moment = 0.0 Bohr magnetons per cell
Relative energy among the computed polymorphs = 0.125 eV/atom

Unit cell a=5.787 b=5.787 c=5.787 alpha=60.00 beta=60.00 gamma=60.00
Positions (direct):
1 K 0.000 0.000 0.000
2 Ge 0.500 0.500 0.500
3 I 0.250 0.250 0.250
4 I 0.750 0.750 0.750

***

No. 6
A plane-wave DFT calculation with PBE-GGA was carried out for a geometry-optimized K6GeI8 structure.

Values from the calculation:
Calculated total energy = -2.784 eV per atom
Total moment = 0.0 Bohr magnetons per cell

Unit cell a=9.204 b=9.204 c=9.204 alpha=69.92 beta=69.92 gamma=69.92
Positions (direct):
1 K 0.024 0.443 0.801
2 K 0.199 0.976 0.557
3 K 0.443 0.801 0.024
4 K 0.557 0.199 0.976
5 K 0.801 0.024 0.443
6 K 0.976 0.557 0.199
7 Ge 0.500 0.500 0.500
8 I 0.158 0.158 0.158
9 I 0.185 0.657 0.403
10 I 0.343 0.597 0.815
11 I 0.403 0.185 0.657
12 I 0.597 0.815 0.343
13 I 0.657 0.403 0.185
14 I 0.815 0.343 0.597
15 I 0.842 0.842 0.842

***

No. 7
A plane-wave DFT calculation with PBE-GGA was carried out for a geometry-optimized K2GeI6 structure.

Values from the calculation:
Calculated total energy = -2.418 eV per atom
Total moment = 0.0 Bohr magnetons per cell

Unit cell a=7.756 b=7.756 c=14.755 alpha=90.00 beta=90.00 gamma=90.00
Positions (direct):
1 K 0.000 0.000 0.165
2 K 0.000 0.000 0.835
3 K 0.500 0.500 0.335
4 K 0.500 0.500 0.665
5 Ge 0.000 0.000 0.500
6 Ge 0.500 0.500 0.000
7 I 0.177 0.177 0.364
8 I 0.177 0.177 0.636
9 I 0.245 0.245 0.000
10 I 0.255 0.745 0.500
11 I 0.323 0.677 0.136
12 I 0.323 0.677 0.864
13 I 0.677 0.323 0.136
14 I 0.677 0.323 0.864
15 I 0.745 0.255 0.500
16 I 0.755 0.755 0.000
17 I 0.823 0.823 0.364
18 I 0.823 0.823 0.636

***

No. 8
A plane-wave DFT calculation with PBE-GGA was carried out for a geometry-optimized KGe2I8 structure.

Values from the calculation:
Calculated total energy = -2.514 eV per atom
Total moment = 0.0 Bohr magnetons per cell

Unit cell a=9.598 b=9.598 c=7.361 alpha=99.83 beta=99.83 gamma=77.98
Positions (direct):
1 K 0.000 0.000 0.000
2 Ge 0.220 0.220 0.684
3 Ge 0.780 0.780 0.316
4 I 0.046 0.696 0.246
5 I 0.223 0.223 0.329
6 I 0.304 0.954 0.754
7 I 0.390 0.390 0.882
8 I 0.610 0.610 0.118
9 I 0.696 0.046 0.246
10 I 0.777 0.777 0.671
11 I 0.954 0.304 0.754

***

No. 9
A plane-wave DFT calculation with PBE-GGA was carried out for a geometry-optimized KGe2I4 structure.

Values from the calculation:
Calculated total energy = -2.670 eV per atom
Total moment = 1.1 Bohr magnetons per cell

Unit cell a=7.618 b=7.618 c=7.618 alpha=107.74 beta=107.74 gamma=112.99
Positions (direct):
1 K 0.000 0.000 0.000
2 Ge 0.250 0.750 0.500
3 Ge 0.750 0.250 0.500
4 I 0.180 0.653 0.833
5 I 0.347 0.180 0.527
6 I 0.653 0.820 0.473
7 I 0.820 0.347 0.167

***

No. 10
A plane-wave DFT calculation with PBE-GGA was carried out for a geometry-optimized K3GeI6 structure.

Values from the calculation:
Total moment = 0.0 Bohr magnetons per cell
Relative energy among the computed polymorphs = 0.000 eV/atom

Unit cell a=9.776 b=9.776 c=9.776 alpha=88.65 beta=88.65 gamma=88.65
Positions (direct):
1 K 0.091 0.561 0.218
2 K 0.218 0.091 0.561
3 K 0.439 0.782 0.909
4 K 0.561 0.218 0.091
5 K 0.782 0.909 0.439
6 K 0.909 0.439 0.782
7 Ge 0.000 0.000 0.000
8 Ge 0.500 0.500 0.500
9 I 0.083 0.731 0.892
10 I 0.108 0.917 0.269
11 I 0.206 0.459 0.542
12 I 0.269 0.108 0.917
13 I 0.458 0.794 0.541
14 I 0.459 0.542 0.206
15 I 0.541 0.458 0.794
16 I 0.542 0.206 0.459
17 I 0.731 0.892 0.083
18 I 0.794 0.541 0.458
19 I 0.892 0.083 0.731
20 I 0.917 0.269 0.108

***

No. 11
A plane-wave DFT calculation with PBE-GGA was carried out for a geometry-optimized KGe3I structure.

Values from the calculation:
Calculated total energy = -2.533 eV per atom
Total moment = 0.0 Bohr magnetons per cell

Unit cell a=5.627 b=5.627 c=5.627 alpha=90.00 beta=90.00 gamma=90.00
Positions (direct):
1 K 0.000 0.000 0.000
2 Ge 0.000 0.500 0.500
3 Ge 0.500 0.000 0.500
4 Ge 0.500 0.500 0.000
5 I 0.500 0.500 0.500

***

No. 12
A plane-wave DFT calculation with PBE-GGA was carried out for a geometry-optimized KGe2I structure.

Values from the calculation:
Total moment = 0.0 Bohr magnetons per cell
Relative energy among the computed polymorphs = 0.000 eV/atom

Unit cell a=7.219 b=7.219 c=7.219 alpha=100.27 beta=100.27 gamma=130.06
Positions (direct):
1 K 0.000 0.000 0.000
2 K 0.750 0.250 0.500
3 Ge 0.154 0.625 0.029
4 Ge 0.375 0.404 0.529
5 Ge 0.596 0.125 0.971
6 Ge 0.875 0.846 0.471
7 I 0.250 0.750 0.500
8 I 0.500 0.500 0.000

***

No. 13
A plane-wave DFT calculation with PBE-GGA was carried out for a geometry-optimized KGeI2 structure.

Values from the calculation:
Total moment = 2.0 Bohr magnetons per cell
Relative energy among the computed polymorphs = 0.026 eV/atom

Unit cell a=10.074 b=10.074 c=10.074 alpha=140.67 beta=140.67 gamma=56.84
Positions (direct):
1 K 0.000 0.000 0.000
2 K 0.750 0.250 0.500
3 Ge 0.250 0.750 0.500
4 Ge 0.500 0.500 0.000
5 I 0.191 0.625 0.066
6 I 0.375 0.441 0.566
7 I 0.559 0.125 0.934
8 I 0.875 0.809 0.434

***

No. 14
A plane-wave DFT calculation with PBE-GGA was carried out for a geometry-optimized KGe2I5 structure.

Values from the calculation:
Calculated total energy = -2.837 eV per atom
Total moment = 0.0 Bohr magnetons per cell

Unit cell a=7.518 b=7.518 c=15.390 alpha=90.00 beta=90.00 gamma=132.86
Positions (direct):
1 K 0.009 0.991 0.750
2 K 0.991 0.009 0.250
3 Ge 0.360 0.640 0.062
4 Ge 0.360 0.640 0.438
5 Ge 0.640 0.360 0.562
6 Ge 0.640 0.360 0.938
7 I 0.155 0.845 0.549
8 I 0.155 0.845 0.951
9 I 0.289 0.711 0.250
10 I 0.445 0.555 0.620
11 I 0.445 0.555 0.880
12 I 0.555 0.445 0.120
13 I 0.555 0.445 0.380
14 I 0.711 0.289 0.750
15 I 0.845 0.155 0.049
16 I 0.845 0.155 0.451

***

No. 15
A plane-wave DFT calculation with PBE-GGA was carried out for a geometry-optimized KGeI2 structure.

Values from the calculation:
Total moment = 0.0 Bohr magnetons per cell
Relative energy among the computed polymorphs = 0.000 eV/atom

Unit cell a=7.661 b=7.661 c=7.661 alpha=38.23 beta=38.23 gamma=38.23
Positions (direct):
1 K 0.000 0.000 0.000
2 Ge 0.500 0.500 0.500
3 I 0.234 0.234 0.234
4 I 0.766 0.766 0.766

***

No. 16
A plane-wave DFT calculation with PBE-GGA was carried out for a geometry-optimized K3GeI6 structure.

Values from the calculation:
Total moment = 0.0 Bohr magnetons per cell
Relative energy among the computed polymorphs = 0.005 eV/atom

Unit cell a=8.351 b=8.972 c=14.175 alpha=90.00 beta=123.25 gamma=90.00
Positions (direct):
1 K 0.000 0.000 0.000
2 K 0.000 0.500 0.500
3 K 0.205 0.082 0.740
4 K 0.205 0.418 0.240
5 K 0.795 0.582 0.760
6 K 0.795 0.918 0.260
7 Ge 0.500 0.000 0.500
8 Ge 0.500 0.500 0.000
9 I 0.167 0.174 0.450
10 I 0.167 0.326 0.950
11 I 0.263 0.729 0.423
12 I 0.263 0.771 0.923
13 I 0.407 0.057 0.274
14 I 0.407 0.443 0.774
15 I 0.593 0.557 0.226
16 I 0.593 0.943 0.726
17 I 0.737 0.229 0.077
18 I 0.737 0.271 0.577
19 I 0.833 0.674 0.050
20 I 0.833 0.826 0.550

***

No. 17
A plane-wave DFT calculation with PBE-GGA was carried out for a geometry-optimized KGeI4 structure.

Values from the calculation:
Calculated total energy = -2.620 eV per atom
Total moment = 0.0 Bohr magnetons per cell

Unit cell a=9.797 b=12.713 c=12.335 alpha=90.00 beta=126.19 gamma=90.00
Positions (direct):
1 K 0.206 0.127 0.314
2 K 0.206 0.373 0.814
3 K 0.794 0.627 0.186
4 K 0.794 0.873 0.686
5 Ge 0.312 0.715 0.180
6 Ge 0.312 0.785 0.680
7 Ge 0.688 0.215 0.320
8 Ge 0.688 0.285 0.820
9 I 0.117 0.597 0.572
10 I 0.117 0.903 0.072
11 I 0.193 0.556 0.243
12 I 0.193 0.944 0.743
13 I 0.326 0.632 0.984
14 I 0.326 0.868 0.484
15 I 0.351 0.224 0.120
16 I 0.351 0.276 0.620
17 I 0.649 0.724 0.380
18 I 0.649 0.776 0.880
19 I 0.674 0.132 0.516
20 I 0.674 0.368 0.016
21 I 0.807 0.056 0.257
22 I 0.807 0.444 0.757
23 I 0.883 0.097 0.928
24 I 0.883 0.403 0.428

***

No. 18
A plane-wave DFT calculation with PBE-GGA was carried out for a geometry-optimized K3Ge2I8 structure.

Values from the calculation:
Calculated total energy = -2.668 eV per atom
Total moment = 0.0 Bohr magnetons per cell

Unit cell a=11.027 b=11.027 c=11.027 alpha=46.14 beta=46.14 gamma=46.14
Positions (direct):
1 K 0.000 0.000 0.000
2 K 0.200 0.200 0.200
3 K 0.800 0.800 0.800
4 Ge 0.410 0.410 0.410
5 Ge 0.590 0.590 0.590
6 I 0.202 0.748 0.748
7 I 0.252 0.252 0.798
8 I 0.252 0.798 0.252
9 I 0.318 0.318 0.318
10 I 0.682 0.682 0.682
11 I 0.748 0.202 0.748
12 I 0.748 0.748 0.202
13 I 0.798 0.252 0.252

***

No. 19
A plane-wave DFT calculation with PBE-GGA was carried out for a geometry-optimized K3Ge2I7 structure.

Values from the calculation:
Calculated total energy = -2.802 eV per atom
Total moment = 0.0 Bohr magnetons per cell

Unit cell a=15.371 b=15.371 c=15.371 alpha=157.74 beta=157.74 gamma=31.69
Positions (direct):
1 K 0.000 0.000 0.000
2 K 0.177 0.177 0.000
3 K 0.823 0.823 0.000
4 Ge 0.396 0.396 0.000
5 Ge 0.604 0.604 0.000
6 I 0.099 0.599 0.500
7 I 0.297 0.297 0.000
8 I 0.401 0.901 0.500
9 I 0.500 0.500 0.000
10 I 0.599 0.099 0.500
11 I 0.703 0.703 0.000
12 I 0.901 0.401 0.500

***

No. 20
A plane-wave DFT calculation with PBE-GGA was carried out for a geometry-optimized KGeI3 structure.

Values from the calculation:
Calculated total energy = -2.823 eV per atom
Total moment = 0.0 Bohr magnetons per cell

Unit cell a=9.113 b=7.407 c=15.832 alpha=90.00 beta=112.11 gamma=90.00
Positions (direct):
1 K 0.191 0.029 0.187
2 K 0.191 0.471 0.687
3 K 0.809 0.529 0.313
4 K 0.809 0.971 0.813
5 Ge 0.367 0.539 0.412
6 Ge 0.367 0.961 0.912
7 Ge 0.633 0.039 0.088
8 Ge 0.633 0.461 0.588
9 I 0.136 0.001 0.738
10 I 0.136 0.499 0.238
11 I 0.188 0.716 0.490
12 I 0.188 0.784 0.990
13 I 0.478 0.180 0.626
14 I 0.478 0.320 0.126
15 I 0.522 0.680 0.874
16 I 0.522 0.820 0.374
17 I 0.812 0.216 0.010
18 I 0.812 0.284 0.510
19 I 0.864 0.501 0.762
20 I 0.864 0.999 0.262